## CdPdI2N (GGA-PBE)

Data for an optimized crystal structure of CdPdI2N.

The structure in extended XYZ format:
```
5
Lattice="-5.4968 0.5413 1.8002 -1.4619 -4.7285 -3.0420 0.7715 -2.1746 3.0095" Properties=species:S:1:pos:R:3 pbc="T T T"
Cd -3.0936 -3.1809 0.8839
I -0.7309 -2.3642 -1.5210
I -2.7484 0.2706 0.9001
N 0.3857 -1.0873 1.5047
Pd 0.0000 0.0000 0.0000
```

Output
E_form (uncorrected)	0.5265	eV per atom
polymorph energy (0 for the lowest one)	0	meV per atom
density of states at the Fermi level	2.678	states/eV per cell